# 1
Here is crystalline BaTlSb at its relaxed geometry from the Alexandria database. Energies are from GGA-PBE.

a b c (Å): 12.600 5.130 7.267
angles (deg): 90.00 107.28 90.00
Positions (direct):
Ba (0.000, 0.000, 0.000)
Ba (0.145, 0.500, 0.586)
Ba (0.500, 0.500, 0.000)
Ba (0.645, 0.000, 0.586)
Tl (0.223, 0.500, 0.128)
Tl (0.300, 0.000, 0.456)
Tl (0.723, 0.000, 0.128)
Tl (0.800, 0.500, 0.456)
Sb (0.293, 0.000, 0.915)
Sb (0.442, 0.500, 0.472)
Sb (0.793, 0.500, 0.915)
Sb (0.942, 0.000, 0.472)

Values from the calculation:
E above lowest polymorph: 25.1 meV/atom
M_tot: 0.00 μB/f.u.

---

# 2
Here is crystalline BaTl3Sb at its relaxed geometry from the Alexandria database. Energies are from GGA-PBE.

a b c (Å): 6.329 6.329 6.329
angles (deg): 90.00 90.00 90.00
Positions (direct):
Ba (0.000, 0.000, 0.000)
Tl (0.000, 0.000, 0.500)
Tl (0.000, 0.500, 0.000)
Tl (0.500, 0.000, 0.000)
Sb (0.500, 0.500, 0.500)

Values from the calculation:
E above lowest polymorph: 646.1 meV/atom
M_tot: 0.00 μB/f.u.

---

# 3
Here is crystalline Ba6Tl5Sb at its relaxed geometry from the Alexandria database. Energies are from GGA-PBE.

a b c (Å): 9.801 9.801 8.390
angles (deg): 90.00 90.00 143.84
Positions (direct):
Ba (0.000, 0.000, 0.238)
Ba (0.000, 0.000, 0.762)
Ba (0.339, 0.661, 0.250)
Ba (0.339, 0.661, 0.750)
Ba (0.661, 0.339, 0.250)
Ba (0.661, 0.339, 0.750)
Tl (0.169, 0.831, 0.500)
Tl (0.184, 0.816, 0.000)
Tl (0.500, 0.500, 0.500)
Tl (0.816, 0.184, 0.000)
Tl (0.831, 0.169, 0.500)
Sb (0.500, 0.500, 0.000)

Values from the calculation:
M_tot: 0.00 μB/f.u.

---

# 4
Here is crystalline Ba2TlSb at its relaxed geometry from the Alexandria database. Energies are from GGA-PBE.

a b c (Å): 4.450 4.474 7.844
angles (deg): 90.00 90.00 90.00
Positions (direct):
Ba (0.000, 0.000, 0.227)
Ba (0.000, 0.000, 0.773)
Tl (0.500, 0.500, 0.500)
Sb (0.500, 0.500, 0.000)

Values from the calculation:
E above lowest polymorph: 0.0 meV/atom
M_tot: 0.00 μB/f.u.

---

# 5
Here is crystalline BaTl4Sb at its relaxed geometry from the Alexandria database. Energies are from GGA-PBE.

a b c (Å): 10.394 4.532 8.779
angles (deg): 90.00 90.00 90.00
Positions (direct):
Ba (0.250, 0.000, 0.154)
Ba (0.750, 0.000, 0.846)
Tl (0.000, 0.000, 0.500)
Tl (0.033, 0.500, 0.810)
Tl (0.250, 0.500, 0.489)
Tl (0.467, 0.500, 0.810)
Tl (0.500, 0.000, 0.500)
Tl (0.533, 0.500, 0.190)
Tl (0.750, 0.500, 0.511)
Tl (0.967, 0.500, 0.190)
Sb (0.250, 0.000, 0.761)
Sb (0.750, 0.000, 0.239)

Values from the calculation:
E above lowest polymorph: 0.0 meV/atom
M_tot: 0.00 μB/f.u.

---

# 6
Here is crystalline BaTlSb at its relaxed geometry from the Alexandria database. Energies are from GGA-PBE.

a b c (Å): 8.137 8.137 8.137
angles (deg): 90.00 90.00 90.00
Positions (direct):
Ba (0.000, 0.000, 0.000)
Ba (0.000, 0.500, 0.500)
Ba (0.500, 0.000, 0.500)
Ba (0.500, 0.500, 0.000)
Tl (0.000, 0.000, 0.500)
Tl (0.000, 0.500, 0.000)
Tl (0.500, 0.000, 0.000)
Tl (0.500, 0.500, 0.500)
Sb (0.250, 0.250, 0.750)
Sb (0.250, 0.750, 0.250)
Sb (0.750, 0.250, 0.250)
Sb (0.750, 0.750, 0.750)

Values from the calculation:
E above lowest polymorph: 145.9 meV/atom
M_tot: 0.00 μB/f.u.

---

# 7
Here is crystalline Ba3Tl2Sb3 at its relaxed geometry from the Alexandria database. Energies are from GGA-PBE.

a b c (Å): 7.144 7.144 17.906
angles (deg): 90.00 90.00 138.90
Positions (direct):
Ba (0.052, 0.948, 0.613)
Ba (0.052, 0.948, 0.887)
Ba (0.320, 0.680, 0.750)
Ba (0.680, 0.320, 0.250)
Ba (0.948, 0.052, 0.113)
Ba (0.948, 0.052, 0.387)
Tl (0.233, 0.767, 0.100)
Tl (0.233, 0.767, 0.400)
Tl (0.767, 0.233, 0.600)
Tl (0.767, 0.233, 0.900)
Sb (0.390, 0.610, 0.533)
Sb (0.390, 0.610, 0.967)
Sb (0.408, 0.592, 0.250)
Sb (0.592, 0.408, 0.750)
Sb (0.610, 0.390, 0.033)
Sb (0.610, 0.390, 0.467)

Values from the calculation:
M_tot: 0.00 μB/f.u.

---

# 8
Here is crystalline Ba2TlSb at its relaxed geometry from the Alexandria database. Energies are from GGA-PBE.

a b c (Å): 5.513 5.513 10.020
angles (deg): 90.00 90.00 90.00
Positions (direct):
Ba (0.000, 0.500, 0.250)
Ba (0.000, 0.500, 0.750)
Ba (0.500, 0.000, 0.250)
Ba (0.500, 0.000, 0.750)
Tl (0.000, 0.000, 0.000)
Tl (0.500, 0.500, 0.500)
Sb (0.000, 0.000, 0.500)
Sb (0.500, 0.500, 0.000)

Values from the calculation:
E above lowest polymorph: 45.0 meV/atom
M_tot: 0.00 μB/f.u.

---

# 9
Here is crystalline Ba2TlSb at its relaxed geometry from the Alexandria database. Energies are from GGA-PBE.

a b c (Å): 8.457 8.457 8.457
angles (deg): 90.00 90.00 90.00
Positions (direct):
Ba (0.000, 0.000, 0.000)
Ba (0.000, 0.500, 0.500)
Ba (0.250, 0.250, 0.250)
Ba (0.250, 0.750, 0.750)
Ba (0.500, 0.000, 0.500)
Ba (0.500, 0.500, 0.000)
Ba (0.750, 0.250, 0.750)
Ba (0.750, 0.750, 0.250)
Tl (0.000, 0.000, 0.500)
Tl (0.000, 0.500, 0.000)
Tl (0.500, 0.000, 0.000)
Tl (0.500, 0.500, 0.500)
Sb (0.250, 0.250, 0.750)
Sb (0.250, 0.750, 0.250)
Sb (0.750, 0.250, 0.250)
Sb (0.750, 0.750, 0.750)

Values from the calculation:
E above lowest polymorph: 380.6 meV/atom
M_tot: 0.00 μB/f.u.

---

# 10
Here is crystalline BaTlSb at its relaxed geometry from the Alexandria database. Energies are from GGA-PBE.

a b c (Å): 8.803 8.803 5.031
angles (deg): 90.00 90.00 120.00
Positions (direct):
Ba (0.000, 0.409, 0.000)
Ba (0.409, 0.000, 0.000)
Ba (0.591, 0.591, 0.000)
Tl (0.000, 0.753, 0.500)
Tl (0.247, 0.247, 0.500)
Tl (0.753, 0.000, 0.500)
Sb (0.000, 0.000, 0.000)
Sb (0.333, 0.667, 0.500)
Sb (0.667, 0.333, 0.500)

Values from the calculation:
E above lowest polymorph: 36.3 meV/atom
M_tot: 0.00 μB/f.u.

---

# 11
Here is crystalline BaTmSb2 at its relaxed geometry from the Alexandria database. Energies are from GGA-PBE.

a b c (Å): 4.504 4.504 24.531
angles (deg): 90.00 90.00 120.00
Positions (direct):
Ba (0.000, 0.000, 0.000)
Ba (0.333, 0.667, 0.667)
Ba (0.667, 0.333, 0.333)
Tm (0.000, 0.000, 0.829)
Tm (0.333, 0.667, 0.495)
Tm (0.667, 0.333, 0.162)
Sb (0.000, 0.000, 0.233)
Sb (0.000, 0.000, 0.428)
Sb (0.333, 0.667, 0.095)
Sb (0.333, 0.667, 0.900)
Sb (0.667, 0.333, 0.566)
Sb (0.667, 0.333, 0.762)

Values from the calculation:
E above lowest polymorph: 32.2 meV/atom
M_tot: 0.00 μB/f.u.

---

# 12
Here is crystalline BaTmSb2 at its relaxed geometry from the Alexandria database. Energies are from GGA-PBE.

a b c (Å): 4.665 4.665 22.857
angles (deg): 90.00 90.00 120.00
Positions (direct):
Ba (0.000, 0.000, 0.000)
Ba (0.333, 0.667, 0.667)
Ba (0.667, 0.333, 0.333)
Tm (0.000, 0.000, 0.500)
Tm (0.333, 0.667, 0.167)
Tm (0.667, 0.333, 0.833)
Sb (0.000, 0.000, 0.234)
Sb (0.000, 0.000, 0.766)
Sb (0.333, 0.667, 0.433)
Sb (0.333, 0.667, 0.901)
Sb (0.667, 0.333, 0.099)
Sb (0.667, 0.333, 0.567)

Values from the calculation:
E above lowest polymorph: 0.0 meV/atom
M_tot: 0.00 μB/f.u.

---

# 13
Here is crystalline Ba2TmSb2 at its relaxed geometry from the Alexandria database. Energies are from GGA-PBE.

a b c (Å): 8.927 8.927 8.927
angles (deg): 126.50 74.13 132.74
Positions (direct):
Ba (0.146, 0.165, 0.311)
Ba (0.354, 0.665, 0.019)
Ba (0.646, 0.335, 0.981)
Ba (0.854, 0.835, 0.689)
Tm (0.250, 0.750, 0.500)
Tm (0.750, 0.250, 0.500)
Sb (0.110, 0.729, 0.839)
Sb (0.390, 0.229, 0.619)
Sb (0.610, 0.771, 0.381)
Sb (0.890, 0.271, 0.161)

Values from the calculation:
M_tot: 0.25 μB/f.u.

---

Result set for theoretical density: 6.86, 5.71, 6.87, 6.39, 8.65, 5.71, 6.56, 6.55, 6.60, 6.84, 6.35, 6.36, 5.57 g cm⁻³, one per record in the order listed.
Result set for electronic total energy: -3.447, -1.901, -2.795, -3.276, -2.798, -3.326, -3.537, -3.231, -2.896, -3.436, -4.536, -4.568, -4.225 eV per atom, one per record in the order listed.
Result set for raw formation energy: -0.6430, 0.7281, -0.5037, -0.6928, -0.2131, -0.5223, -0.6781, -0.6478, -0.3122, -0.6319, -0.8760, -0.9082, -0.9124 eV/atom, one per record in the order listed.